UCoTcO6, relaxed, DFT PBE with a Hubbard U; crystal system = trigonal; uncorrected energy = -8.179 eV/atom
1.0
5.143 0.000 0.000
-2.571 4.454 0.000
0.000 0.000 9.267
U Co Tc O
2 2 2 12
Cartesian
0.000 2.969 2.317
2.571 1.485 6.951
0.000 2.969 6.951
2.571 1.485 2.317
0.000 0.000 0.000
0.000 0.000 4.634
-0.812 1.412 1.139
-1.755 3.045 3.495
0.812 1.412 3.495
-0.943 4.451 1.139
1.629 0.003 5.773
0.817 1.409 8.129
1.755 3.045 1.139
0.943 4.451 3.495
3.514 0.003 8.129
1.759 3.042 5.773
4.326 1.409 5.773
3.383 3.042 8.129


V2CoTcO8, relaxed, DFT PBE with a Hubbard U; crystal system = orthorhombic; uncorrected energy = -7.358 eV/atom
1.0
3.230 -3.244 0.000
3.230 3.244 0.000
0.000 0.000 5.859
V Co Tc O
2 1 1 8
Cartesian
0.000 0.000 1.374
0.000 0.000 4.486
3.230 0.000 0.000
3.230 0.000 2.930
1.262 0.000 2.930
1.322 0.000 0.000
3.230 1.278 1.455
3.230 1.278 4.404
3.230 -1.278 1.455
3.230 -1.278 4.404
5.137 0.000 0.000
5.197 0.000 2.930


Co3TeO, relaxed, DFT PBE with a Hubbard U; crystal system = cubic; energy relative to the lowest polymorph listed for this composition = 0.00 eV per formula unit
1.0
4.081 0.000 0.000
0.000 4.081 0.000
0.000 0.000 4.081
Co Te O
3 1 1
Cartesian
0.000 0.000 2.040
0.000 2.040 0.000
2.040 0.000 0.000
2.040 2.040 2.040
0.000 0.000 0.000


Co3TeO6, relaxed, DFT PBE with a Hubbard U; crystal system = trigonal; energy relative to the lowest polymorph listed for this composition = 0.18 eV per formula unit
1.0
4.376 2.526 3.481
-4.376 2.526 3.481
0.000 -5.052 3.481
Co Te O
6 2 12
Cartesian
-2.248 -2.192 4.804
-3.023 0.851 5.639
0.775 -3.043 5.639
-0.775 3.043 4.804
3.023 -0.851 4.804
2.248 2.192 5.639
0.000 0.000 0.000
0.000 0.000 5.221
-3.792 -1.105 5.745
-0.939 -3.836 4.697
-1.663 -0.218 4.195
-2.853 2.731 4.697
-0.643 -1.550 6.248
1.021 -1.332 4.195
-1.021 1.332 6.248
0.643 1.550 4.195
2.853 -2.731 5.745
1.663 0.218 6.248
0.939 3.836 5.745
3.792 1.105 4.697


CoTe2O, relaxed, DFT PBE with a Hubbard U; crystal system = trigonal; uncorrected energy = -3.429 eV/atom
1.0
3.215 0.000 0.000
-1.607 2.784 0.000
0.000 0.000 26.057
Co Te O
3 6 3
Cartesian
0.000 0.000 0.000
0.000 1.856 17.371
1.607 0.928 8.686
0.000 0.000 2.544
0.000 0.000 23.512
0.000 1.856 14.827
0.000 1.856 19.916
1.607 0.928 6.141
1.607 0.928 11.230
0.000 0.000 13.028
0.000 1.856 4.343
1.607 0.928 21.714


CoTe6O13, relaxed, DFT PBE with a Hubbard U; crystal system = trigonal; uncorrected energy = -5.413 eV/atom
1.0
5.158 2.978 6.455
-5.158 2.978 6.455
0.000 -5.956 6.455
Co Te O
2 12 26
Cartesian
0.000 0.000 4.708
0.000 0.000 14.657
-1.512 -4.429 8.242
-4.591 -0.905 11.123
-2.024 -0.749 7.833
-3.079 3.524 8.242
-0.364 -2.127 11.532
1.660 -1.379 7.833
-1.660 1.379 11.532
0.364 2.127 7.833
3.079 -3.524 11.123
2.024 0.749 11.532
4.591 0.905 8.242
1.512 4.429 11.123
-0.462 -1.736 3.651
-1.538 -0.988 5.934
-3.530 -2.495 11.537
-3.926 1.810 7.827
-1.273 1.268 3.651
-1.259 -2.259 8.669
0.395 -4.305 7.827
-2.586 -0.039 10.695
1.735 0.468 3.651
-0.086 1.826 5.934
0.000 0.000 7.980
1.624 -0.839 5.934
-1.327 2.220 8.669
1.327 -2.220 10.695
-1.624 0.838 13.431
0.000 0.000 11.385
0.086 -1.826 13.431
-1.735 -0.468 15.713
2.586 0.039 8.669
-0.395 4.305 11.537
1.259 2.259 10.695
1.273 -1.268 15.713
3.926 -1.810 11.537
3.530 2.495 7.827
1.538 0.988 13.431
0.462 1.736 15.713


| no. | ρ (g/cm3) |
| --- | --- |
| 1 | 7.68 |
| 2 | 5.23 |
| 3 | 7.83 |
| 4 | 5.76 |
| 5 | 7.05 |
| 6 | 5.76 |